Record 1
Material: NaTlCo2Tc
Method: DFT, GGA-PBE
State: relaxed

As for the energy above the most stable polymorph in this dataset: 785 meV per atom. Its crystal system is tetragonal. The value obtained for the calculated volume is 18.7 Å³/atom. For the energy of formation, the calculation gives 191 kJ/mol of atoms.

It has space group P4/mmm (No. 123), with a = 4.3997 Å, b = 4.3997 Å, c = 4.8181 Å, α = 90.00°, β = 90.00° and γ = 90.00°. Symmetry generates all atoms from Na at (0.0000, 0.0000, 0.0000), Tl at (0.0000, 0.0000, 0.5000), Co at (0.0000, 0.5000, 0.0000) and Tc at (0.5000, 0.5000, 0.5000).

Record 2
Material: PmCdGaPt3
Method: DFT, GGA-PBE
State: relaxed

Its crystal system is orthorhombic. The value obtained for the calculated volume is 21.0 Å³/atom. For the energy of formation, the calculation gives -51 kJ/mol of atoms.

It has space group Cmcm (No. 63), with a = 7.1783 Å, b = 12.2527 Å, c = 5.7346 Å, α = 90.00°, β = 90.00° and γ = 90.00°. Symmetry generates all atoms from Pm at (0.0000, 0.1886, 0.2500), Cd at (0.0000, 0.4388, 0.2500), Ga at (0.0000, 0.1273, 0.7500), Pt at (0.0000, 0.3254, 0.7500) and Pt at (0.1983, 0.0000, 0.0000).

Record 3
Material: LiPrPd4Pb2
Method: DFT, GGA-PBE
State: relaxed

Its crystal system is trigonal. The value obtained for the calculated volume is 19.8 Å³/atom. For the energy of formation, the calculation gives -48 kJ/mol of atoms.

It has space group R-3m (No. 166, hexagonal axes), with a = 4.7237 Å, b = 4.7237 Å, c = 24.6427 Å, α = 90.00°, β = 90.00° and γ = 120.00°. Symmetry generates all atoms from Li at (0.0000, 0.0000, 0.0000), Pr at (0.0000, 0.0000, 0.5000), Pd at (0.0000, 0.0000, 0.1060), Pd at (0.0000, 0.0000, 0.3725) and Pb at (0.0000, 0.0000, 0.2572).

Record 4
Material: La2AlGa3
Method: DFT, GGA-PBE
State: relaxed

Its crystal system is orthorhombic. The value obtained for the calculated volume is 24.4 Å³/atom. For the energy of formation, the calculation gives -63 kJ/mol of atoms.

It has space group Fmmm (No. 69), with a = 8.7054 Å, b = 8.8956 Å, c = 15.1166 Å, α = 90.00°, β = 90.00° and γ = 90.00°. Symmetry generates all atoms from La at (0.0000, 0.2469, 0.0000), La at (0.2500, 0.2500, 0.2500), Al at (0.0000, 0.0000, 0.3337), Ga at (0.0000, 0.0000, 0.1668) and Ga at (0.2501, 0.0000, 0.0830).

Record 5
Material: La6Sb3C
Method: DFT, GGA-PBE
State: relaxed

Its crystal system is monoclinic. The value obtained for the calculated volume is 31.8 Å³/atom. The uncorrected formation energy is -7.52 eV/f.u.

It has space group P2_1/c (No. 14), with a = 6.8229 Å, b = 8.5281 Å, c = 12.8211 Å, α = 90.00°, β = 121.58° and γ = 90.00°. Symmetry generates all atoms from La at (0.0987, 0.0427, 0.2265), La at (0.1787, 0.7171, 0.0526), La at (0.3777, 0.1573, 0.0506), Sb at (0.3204, 0.1089, 0.7463), Sb at (0.5000, 0.0000, 0.5000) and C at (0.0000, 0.0000, 0.0000).

Record 6
Material: ZnIn2PbBr6
Method: DFT, GGA-PBE
State: relaxed

Its crystal system is triclinic. The value obtained for the calculated volume is 41.3 Å³/atom. The uncorrected formation energy is -7.63 eV/f.u.

It has space group P1 (No. 1), with a = 7.7850 Å, b = 7.7851 Å, c = 9.0605 Å, α = 90.04°, β = 115.40° and γ = 119.96°. Symmetry generates all atoms from Zn at (0.0000, 0.0000, 0.0000), In at (0.4469, 0.2241, 0.6702), In at (0.4924, 0.7467, 0.2382), Pb at (0.8603, 0.4305, 0.2900), Br at (0.3140, 0.5169, 0.4786), Br at (0.3197, 0.2755, 0.9952), Br at (0.6816, 0.1657, 0.4788), Br at (0.7196, 0.0445, 0.9946), Br at (0.9507, 0.6753, 0.9945) and Br at (0.9626, 0.7984, 0.4784).

Record 7
Material: PrY2In2Ag2
Method: DFT, GGA-PBE
State: relaxed

Its crystal system is trigonal. The value obtained for the calculated volume is 26.9 Å³/atom. For the energy of formation, the calculation gives -30 kJ/mol of atoms.

It has space group R-3m (No. 166, hexagonal axes), with a = 4.8873 Å, b = 4.8873 Å, c = 27.2724 Å, α = 90.00°, β = 90.00° and γ = 120.00°. Symmetry generates all atoms from Pr at (0.0000, 0.0000, 0.0000), Y at (0.0000, 0.0000, 0.1272), In at (0.0000, 0.0000, 0.2571) and Ag at (0.0000, 0.0000, 0.4061).

Record 8
Material: LaSmSc6
Method: DFT, GGA-PBE
State: relaxed

Its crystal system is hexagonal. The value obtained for the calculated volume is 27.2 Å³/atom. For the energy of formation, the calculation gives 5 kJ/mol of atoms.

It has space group P-6m2 (No. 187), with a = 6.8286 Å, b = 6.8286 Å, c = 5.3815 Å, α = 90.00°, β = 90.00° and γ = 120.00°. Symmetry generates all atoms from La at (0.0000, 0.0000, 0.0000), Sm at (0.3333, 0.6667, 0.5000), Sc at (0.3429, 0.1715, 0.5000) and Sc at (0.5047, 0.0093, 0.0000).

Record 9
Material: PrSm2Y3Te6
Method: DFT, GGA-PBE
State: relaxed

Its crystal system is monoclinic. The value obtained for the calculated volume is 30.5 Å³/atom. The uncorrected formation energy is -16.30 eV/f.u.

It has space group C2/m (No. 12), with a = 19.3016 Å, b = 4.3877 Å, c = 8.9079 Å, α = 90.00°, β = 103.82° and γ = 90.00°. Symmetry generates all atoms from Pr at (0.0000, 0.0000, 0.0000), Sm at (0.1655, 0.5000, 0.3314), Y at (0.0000, 0.0000, 0.5000), Y at (0.1644, 0.5000, 0.8332), Te at (0.0011, 0.5000, 0.7411), Te at (0.1657, 0.0000, 0.5872) and Te at (0.1708, 0.0000, 0.0807).

Record 10
Material: BaZn2GeRu
Method: DFT, GGA-PBE
State: relaxed

Its crystal system is tetragonal. The value obtained for the calculated volume is 23.4 Å³/atom. For the energy of formation, the calculation gives -31 kJ/mol of atoms.

It has space group P4/mmm (No. 123), with a = 4.9641 Å, b = 4.9641 Å, c = 4.7426 Å, α = 90.00°, β = 90.00° and γ = 90.00°. Symmetry generates all atoms from Ba at (0.0000, 0.0000, 0.0000), Zn at (0.0000, 0.5000, 0.5000), Ge at (0.5000, 0.5000, 0.0000) and Ru at (0.5000, 0.5000, 0.5000).

Record 11
Material: TmAl12Ni5
Method: DFT, GGA-PBE
State: relaxed

Its crystal system is orthorhombic. The value obtained for the calculated volume is 15.3 Å³/atom. For the energy of formation, the calculation gives -38 kJ/mol of atoms.

It has space group Immm (No. 71), with a = 7.3752 Å, b = 7.9696 Å, c = 9.3580 Å, α = 90.00°, β = 90.00° and γ = 90.00°. Symmetry generates all atoms from Tm at (0.0000, 0.0000, 0.0000), Al at (0.0000, 0.3100, 0.1659), Al at (0.1768, 0.2739, 0.5000), Al at (0.1913, 0.0000, 0.2654), Ni at (0.0000, 0.0000, 0.5000), Ni at (0.0000, 0.5000, 0.3677) and Ni at (0.1717, 0.5000, 0.0000).

Record 12
Material: NaAl2NiBi
Method: DFT, GGA-PBE
State: relaxed

Its crystal system is tetragonal. The value obtained for the calculated volume is 21.9 Å³/atom. For the energy of formation, the calculation gives 8 kJ/mol of atoms.

It has space group P4/mmm (No. 123), with a = 4.5847 Å, b = 4.5847 Å, c = 5.2198 Å, α = 90.00°, β = 90.00° and γ = 90.00°. Symmetry generates all atoms from Na at (0.0000, 0.0000, 0.0000), Al at (0.0000, 0.5000, 0.5000), Ni at (0.0000, 0.0000, 0.5000) and Bi at (0.5000, 0.5000, 0.0000).